A relaxed structure of Tb3Er2PuTe6. Source: the Alexandria database, functional PBE.

abc: 19.0515 4.3394 8.7627
angles: 90.00 103.50 90.00
Space group C2/m (No. 12)
Unique sites:
1 Tb 0.0000 0.0000 0.0000 x2
2 Tb 0.1641 0.5000 0.3342 x4
3 Er 0.1627 0.5000 0.8271 x4
4 Pu 0.0000 0.0000 0.5000 x2
5 Te 0.0006 0.5000 0.7527 x4
6 Te 0.1688 0.0000 0.5870 x4
7 Te 0.1696 0.0000 0.0802 x4

Results
The raw formation energy comes out at -1.2598 eV/atom. Its total magnetization is 6.154 μB/f.u. Its crystal system is monoclinic.

=====

A relaxed structure of Mg6Cd8Sn. Source: the Alexandria database, functional PBE.

abc: 5.5037 8.2889 8.3378
angles: 72.41 71.43 71.80
Space group P-1 (No. 2)
Unique sites:
1 Mg 0.1987 0.1608 0.2722 x2
2 Mg 0.2008 0.4955 0.6029 x2
3 Mg 0.2006 0.8302 0.9393 x2
4 Cd 0.0052 0.1660 0.6667 x2
5 Cd 0.3933 0.4969 0.2120 x2
6 Cd 0.3930 0.8295 0.5408 x2
7 Cd 0.4031 0.1593 0.8684 x2
8 Sn 0.0000 0.5000 0.0000 x1

Results
Its total magnetization is 0.000 μB/f.u. Its crystal system is triclinic. The uncorrected energy is -21.997 eV per cell.